one.
# Si2PbBr SCAN single point on PBEsol structure
data_Si2PbBr
_chemical_formula_sum 'Si2 Pb1 Br1'
_cell_length_a 3.198
_cell_length_b 4.605
_cell_length_c 6.093
_cell_angle_alpha 90.00
_cell_angle_beta 90.00
_cell_angle_gamma 90.00
_space_group_name_H-M_alt 'P 1'
_space_group_IT_number 1
_space_group_name_Hall 'P 1'
loop_
_atom_site_label
_atom_site_type_symbol
_atom_site_fract_x
_atom_site_fract_y
_atom_site_fract_z
Br1 Br 0.500 0.500 0.000
Si1 Si 0.000 0.000 0.202
Si2 Si 0.000 0.000 0.798
Pb1 Pb 0.500 0.500 0.500
# ρ in g/cm³: 6.352



two.
# Si2PbBr SCAN single point on PBEsol structure
data_Si2PbBr
_chemical_formula_sum 'Si2 Pb1 Br1'
_cell_length_a 3.209
_cell_length_b 3.209
_cell_length_c 9.607
_cell_angle_alpha 90.00
_cell_angle_beta 90.00
_cell_angle_gamma 117.99
_space_group_name_H-M_alt 'P 1'
_space_group_IT_number 1
_space_group_name_Hall 'P 1'
loop_
_atom_site_label
_atom_site_type_symbol
_atom_site_fract_x
_atom_site_fract_y
_atom_site_fract_z
Si1 Si 0.000 0.000 0.271
Si2 Si 0.000 0.000 0.729
Pb1 Pb 0.500 0.500 0.000
Br1 Br 0.500 0.500 0.500
# ρ in g/cm³: 6.524



Relative energy table, unit eV/atom: one 0.000; two 0.014



one.
# SiPbBr2 SCAN single point on PBEsol structure
data_SiPbBr2
_chemical_formula_sum 'Si1 Pb1 Br2'
_cell_length_a 4.123
_cell_length_b 4.869
_cell_length_c 4.869
_cell_angle_alpha 90.00
_cell_angle_beta 90.00
_cell_angle_gamma 90.00
_space_group_name_H-M_alt 'P 1'
_space_group_IT_number 1
_space_group_name_Hall 'P 1'
loop_
_atom_site_label
_atom_site_type_symbol
_atom_site_fract_x
_atom_site_fract_y
_atom_site_fract_z
Br1 Br 0.000 0.000 0.500
Br2 Br 0.000 0.500 0.000
Pb1 Pb 0.500 0.500 0.500
Si1 Si 0.500 0.000 0.000
# ρ in g/cm³: 6.711



two.
# SiPbBr2 SCAN single point on PBEsol structure
data_SiPbBr2
_chemical_formula_sum 'Si1 Pb1 Br2'
_cell_length_a 3.657
_cell_length_b 4.405
_cell_length_c 8.035
_cell_angle_alpha 90.00
_cell_angle_beta 102.87
_cell_angle_gamma 90.00
_space_group_name_H-M_alt 'P 1'
_space_group_IT_number 1
_space_group_name_Hall 'P 1'
loop_
_atom_site_label
_atom_site_type_symbol
_atom_site_fract_x
_atom_site_fract_y
_atom_site_fract_z
Pb1 Pb 0.521 0.000 0.669
Si1 Si 0.979 0.500 0.582
Br1 Br 0.162 0.000 0.954
Br2 Br 0.838 0.500 0.295
# ρ in g/cm³: 5.199



Relative energy table, unit eV/atom: one 0.474; two 0.000



one.
# SiPbBr2 SCAN single point on PBEsol structure
data_SiPbBr2
_chemical_formula_sum 'Si2 Pb2 Br4'
_cell_length_a 4.816
_cell_length_b 4.816
_cell_length_c 10.150
_cell_angle_alpha 103.72
_cell_angle_beta 103.72
_cell_angle_gamma 90.00
_space_group_name_H-M_alt 'P 1'
_space_group_IT_number 1
_space_group_name_Hall 'P 1'
loop_
_atom_site_label
_atom_site_type_symbol
_atom_site_fract_x
_atom_site_fract_y
_atom_site_fract_z
Br1 Br 0.397 0.875 0.250
Pb1 Pb 0.000 0.000 0.000
Br2 Br 0.625 0.603 0.750
Si1 Si 0.750 0.250 0.500
Br3 Br 0.853 0.375 0.250
Br4 Br 0.125 0.147 0.750
Si2 Si 0.500 0.500 0.000
Pb2 Pb 0.250 0.750 0.500
# ρ in g/cm³: 5.918



two.
# SiPbBr2 SCAN single point on PBEsol structure
data_SiPbBr2
_chemical_formula_sum 'Si1 Pb1 Br2'
_cell_length_a 3.756
_cell_length_b 5.035
_cell_length_c 6.736
_cell_angle_alpha 111.95
_cell_angle_beta 106.19
_cell_angle_gamma 90.00
_space_group_name_H-M_alt 'P 1'
_space_group_IT_number 1
_space_group_name_Hall 'P 1'
loop_
_atom_site_label
_atom_site_type_symbol
_atom_site_fract_x
_atom_site_fract_y
_atom_site_fract_z
Br1 Br 0.332 0.332 0.664
Br2 Br 0.668 0.668 0.336
Pb1 Pb 0.500 0.000 0.000
Si1 Si 0.000 0.500 0.000
# ρ in g/cm³: 5.822



Relative energy table, unit eV/atom: one 0.229; two 0.000



one.
# Sr2PbBr SCAN single point on PBEsol structure
data_Sr2PbBr
_chemical_formula_sum 'Sr2 Pb1 Br1'
_cell_length_a 5.730
_cell_length_b 5.730
_cell_length_c 5.730
_cell_angle_alpha 60.00
_cell_angle_beta 60.00
_cell_angle_gamma 60.00
_space_group_name_H-M_alt 'P 1'
_space_group_IT_number 1
_space_group_name_Hall 'P 1'
loop_
_atom_site_label
_atom_site_type_symbol
_atom_site_fract_x
_atom_site_fract_y
_atom_site_fract_z
Br1 Br 0.500 0.500 0.500
Sr1 Sr 0.750 0.750 0.750
Sr2 Sr 0.000 0.000 0.000
Pb1 Pb 0.250 0.250 0.250
# ρ in g/cm³: 5.771



two.
# Sr2PbBr SCAN single point on PBEsol structure
data_Sr2PbBr
_chemical_formula_sum 'Sr2 Pb1 Br1'
_cell_length_a 3.884
_cell_length_b 5.946
_cell_length_c 5.948
_cell_angle_alpha 90.00
_cell_angle_beta 90.00
_cell_angle_gamma 90.00
_space_group_name_H-M_alt 'P 1'
_space_group_IT_number 1
_space_group_name_Hall 'P 1'
loop_
_atom_site_label
_atom_site_type_symbol
_atom_site_fract_x
_atom_site_fract_y
_atom_site_fract_z
Sr1 Sr 0.212 0.500 0.000
Br1 Br 0.352 0.000 0.000
Sr2 Sr 0.212 0.000 0.500
Pb1 Pb 0.724 0.500 0.500
# ρ in g/cm³: 5.589



Relative energy table, unit eV/atom: one 0.828; two 0.000



one.
# Sr2PbBr SCAN single point on PBEsol structure
data_Sr2PbBr
_chemical_formula_sum 'Sr2 Pb1 Br1'
_cell_length_a 3.977
_cell_length_b 4.211
_cell_length_c 8.634
_cell_angle_alpha 90.04
_cell_angle_beta 90.00
_cell_angle_gamma 90.00
_space_group_name_H-M_alt 'P 1'
_space_group_IT_number 1
_space_group_name_Hall 'P 1'
loop_
_atom_site_label
_atom_site_type_symbol
_atom_site_fract_x
_atom_site_fract_y
_atom_site_fract_z
Br1 Br 0.500 0.000 0.500
Sr1 Sr 0.000 0.000 0.780
Pb1 Pb 0.500 0.500 0.000
Sr2 Sr 0.000 0.000 0.220
# ρ in g/cm³: 5.310



two.
# Sr2PbBr SCAN single point on PBEsol structure
data_Sr2PbBr
_chemical_formula_sum 'Sr2 Pb1 Br1'
_cell_length_a 3.874
_cell_length_b 5.496
_cell_length_c 6.593
_cell_angle_alpha 90.00
_cell_angle_beta 107.08
_cell_angle_gamma 90.00
_space_group_name_H-M_alt 'P 1'
_space_group_IT_number 1
_space_group_name_Hall 'P 1'
loop_
_atom_site_label
_atom_site_type_symbol
_atom_site_fract_x
_atom_site_fract_y
_atom_site_fract_z
Sr1 Sr 0.994 0.000 0.989
Sr2 Sr 0.744 0.500 0.488
Br1 Br 0.501 0.500 0.002
Pb1 Pb 0.261 0.000 0.521
# ρ in g/cm³: 5.722



Relative energy table, unit eV/atom: one 0.000; two 0.058



one.
# SrPbBr2 SCAN single point on PBEsol structure
data_SrPbBr2
_chemical_formula_sum 'Sr1 Pb1 Br2'
_cell_length_a 3.867
_cell_length_b 6.189
_cell_length_c 6.189
_cell_angle_alpha 63.08
_cell_angle_beta 71.80
_cell_angle_gamma 71.80
_space_group_name_H-M_alt 'P 1'
_space_group_IT_number 1
_space_group_name_Hall 'P 1'
loop_
_atom_site_label
_atom_site_type_symbol
_atom_site_fract_x
_atom_site_fract_y
_atom_site_fract_z
Br1 Br 0.738 0.262 0.262
Sr1 Sr 0.000 0.500 0.500
Br2 Br 0.262 0.738 0.738
Pb1 Pb 0.500 0.000 0.000
# ρ in g/cm³: 6.144



two.
# SrPbBr2 SCAN single point on PBEsol structure
data_SrPbBr2
_chemical_formula_sum 'Sr1 Pb1 Br2'
_cell_length_a 3.604
_cell_length_b 3.604
_cell_length_c 11.043
_cell_angle_alpha 90.00
_cell_angle_beta 90.00
_cell_angle_gamma 89.94
_space_group_name_H-M_alt 'P 1'
_space_group_IT_number 1
_space_group_name_Hall 'P 1'
loop_
_atom_site_label
_atom_site_type_symbol
_atom_site_fract_x
_atom_site_fract_y
_atom_site_fract_z
Pb1 Pb 0.500 0.500 0.500
Br1 Br 0.000 0.000 0.840
Sr1 Sr 0.500 0.500 0.000
Br2 Br 0.000 0.000 0.160
# ρ in g/cm³: 5.262



Relative energy table, unit eV/atom: one 0.106; two 0.000